Material: CrInO3
Method: DFT, PBE+U
State: relaxed

Properties
Energy   -134.09 eV for the cell shown
Spin magnetization   3.000 μB per formula unit
N(E_F)   0.00 states/eV per cell
Volume   11.90 Å³/atom

Cell lengths 6.1979, 6.1979, 6.1979 Å; angles 90.00, 90.00, 90.00 degrees
Space group P2_13 (No. 198)
Inequivalent atoms, fractional coordinates:
1 Cr 0.0951 0.0951 0.0951 (multiplicity 4)
2 In 0.1275 0.6275 0.8725 (multiplicity 4)
3 O 0.0204 0.2812 0.3561 (multiplicity 12)